DFT (PBE-GGA) results for a geometry-optimized ScTiReTc structure.

Values from the calculation:
Calculated total energy = -37.7 eV for the cell shown
Density of states at the Fermi level = 5.42 states/eV/cell

a b c (Å): 4.490 4.490 4.490
angles (deg): 60.00 60.00 60.00
Positions (direct):
Re  0.500  0.500  0.500
Tc  0.000  0.000  0.000
Sc  0.750  0.750  0.750
Ti  0.250  0.250  0.250



DFT (PBE-GGA) results for a geometry-optimized AlV3Cr structure.

Values from the calculation:
Calculated total energy = -82.4 eV for the cell shown
Density of states at the Fermi level = 14.38 states/eV/cell
Offset from the most stable computed form = 0.000 eV per atom

a b c (Å): 3.005 5.020 9.329
angles (deg): 90.61 90.03 72.66
Positions (direct):
V  0.650  0.700  0.963
Cr  0.547  0.907  0.648
Al  0.746  0.507  0.253
Al  0.254  0.493  0.747
V  0.969  0.062  0.843
V  0.350  0.300  0.037
V  0.143  0.713  0.469
Cr  0.453  0.093  0.352
V  0.857  0.287  0.531
V  0.031  0.938  0.157



DFT (PBE-GGA) results for a geometry-optimized Nb3HW structure.

Values from the calculation:
Calculated total energy = -36.3 eV for the cell shown
Density of states at the Fermi level = 8.02 states/eV/cell
Offset from the most stable computed form = 1.829 eV per atom

a b c (Å): 4.904 4.904 4.904
angles (deg): 90.00 90.00 90.00
Positions (direct):
H  0.500  0.500  0.500
Nb  0.000  0.000  0.500
Nb  0.500  0.000  0.000
Nb  0.000  0.500  0.000
W  0.000  0.000  0.000



DFT (PBE-GGA) results for a geometry-optimized Sc5Te structure.

Values from the calculation:
Uncorrected formation energy = -0.339 eV per atom
Calculated total energy = -36.8 eV for the cell shown
Density of states at the Fermi level = 8.18 states/eV/cell
Offset from the most stable computed form = 0.000 eV per atom

a b c (Å): 3.782 3.782 10.021
angles (deg): 90.00 90.00 90.00
Positions (direct):
Te  0.500  0.500  0.000
Sc  0.000  0.000  0.500
Sc  0.000  0.000  0.158
Sc  0.500  0.500  0.333
Sc  0.500  0.500  0.667
Sc  0.000  0.000  0.842



DFT (PBE-GGA) results for a geometry-optimized Pr6Al3Fe11 structure.

Values from the calculation:
Calculated total energy = -270.6 eV for the cell shown
Density of states at the Fermi level = 44.16 states/eV/cell

a b c (Å): 13.095 13.095 13.095
angles (deg): 143.89 143.89 51.99
Last column: magnetic moment on the atom in μB.
Positions (direct):
Fe  0.231  0.380  0.500  1.94
Fe  0.210  0.067  0.279  2.26
Fe  0.710  0.431  0.143  2.26
Fe  0.380  0.880  0.148  1.94
Pr  0.023  0.860  0.500  -0.06
Fe  0.620  0.120  0.858  2.29
Al  0.751  0.751  0.000  0.02
Al  0.974  0.474  0.263  -0.05
Pr  0.150  0.650  0.171  -0.23
Pr  0.479  0.979  0.829  -0.23
Fe  0.067  0.788  0.857  2.26
Fe  0.999  0.499  0.500  1.78
Pr  0.860  0.360  0.836  -0.06
Pr  0.394  0.394  0.000  -0.27
Fe  0.431  0.288  0.721  2.26
Fe  0.788  0.931  0.721  2.26
Fe  0.519  0.794  0.500  2.43
Fe  0.931  0.210  0.143  2.26
Fe  0.262  0.762  0.142  2.29
Fe  0.019  0.519  0.725  2.43
Pr  0.360  0.523  0.500  -0.06
Pr  0.650  0.479  0.500  -0.23
Pr  0.106  0.106  0.000  -0.21
Fe  0.880  0.731  0.500  1.94
Fe  0.120  0.262  0.500  2.29
Fe  0.499  0.999  0.500  1.78
Pr  0.979  0.150  0.500  -0.23
Fe  0.567  0.710  0.279  2.26
Fe  0.288  0.567  0.857  2.26
Pr  0.606  0.606  0.000  -0.21
Pr  0.894  0.894  0.000  -0.27
Fe  0.731  0.231  0.852  1.94
Al  0.212  0.712  0.737  -0.05
Fe  0.794  0.294  0.275  2.43
Al  0.251  0.251  0.000  0.02
Pr  0.523  0.023  0.164  -0.06
Al  0.712  0.974  0.500  -0.05
Fe  0.294  0.019  0.500  2.43
Fe  0.762  0.620  0.500  2.29
Al  0.474  0.212  0.500  -0.05



DFT (PBE-GGA) results for a geometry-optimized TaCdRh3 structure.

Values from the calculation:
Calculated total energy = -26.6 eV for the cell shown
Density of states at the Fermi level = 0.79 states/eV/cell
Offset from the most stable computed form = 0.996 eV per atom

a b c (Å): 4.703 4.703 4.703
angles (deg): 90.00 90.00 90.00
Positions (direct):
Cd  0.000  0.000  0.000
Rh  0.000  0.000  0.500
Ta  0.500  0.500  0.500
Rh  0.500  0.000  0.000
Rh  0.000  0.500  0.000



DFT (PBE-GGA) results for a geometry-optimized Zr2NiI structure.

Values from the calculation:
Uncorrected formation energy = 0.087 eV per atom
Calculated total energy = -24.1 eV for the cell shown
Density of states at the Fermi level = 2.49 states/eV/cell
Offset from the most stable computed form = 0.000 eV per atom

a b c (Å): 4.834 4.834 4.834
angles (deg): 60.00 60.00 60.00
Positions (direct):
I  0.500  0.500  0.500
Ni  0.000  0.000  0.000
Zr  0.750  0.750  0.750
Zr  0.250  0.250  0.250



DFT (PBE-GGA) results for a geometry-optimized CdGaB structure.

Values from the calculation:
Calculated total energy = -19.6 eV for the cell shown
Density of states at the Fermi level = 1.60 states/eV/cell

a b c (Å): 6.111 5.791 3.089
angles (deg): 105.46 75.15 94.36
Positions (direct):
Cd  0.753  0.451  0.338
B  0.326  0.229  0.441
Ga  0.551  0.898  0.161
Ga  0.246  0.552  0.145
B  0.319  0.148  0.904
Cd  0.964  0.991  0.497



DFT (PBE-GGA) results for a geometry-optimized RbPu2AuS5 structure.

Values from the calculation:
Uncorrected formation energy = -1.125 eV per atom
Calculated total energy = -127.3 eV for the cell shown
Density of states at the Fermi level = 24.47 states/eV/cell

a b c (Å): 7.627 7.627 9.089
angles (deg): 114.81 114.81 90.00
Last column: magnetic moment on the atom in μB.
Positions (direct):
Pu  0.834  0.666  0.000  4.68
S  0.259  0.759  0.231  -0.20
Pu  0.166  0.334  0.000  4.68
Rb  0.750  0.750  0.500  0.00
Pu  0.666  0.166  0.000  4.68
S  0.000  0.000  0.000  -0.24
S  0.027  0.527  0.769  -0.20
S  0.741  0.241  0.769  -0.20
S  0.500  0.500  0.000  -0.24
Rb  0.250  0.250  0.500  0.00
Au  0.750  0.250  0.500  -0.14
S  0.973  0.473  0.231  -0.20
S  0.527  0.741  0.769  -0.20
S  0.473  0.259  0.231  -0.20
S  0.241  0.027  0.769  -0.20
Au  0.250  0.750  0.500  -0.14
Pu  0.334  0.834  0.000  4.68
S  0.759  0.973  0.231  -0.20



DFT (PBE-GGA) results for a geometry-optimized Ca2CoAg structure.

Values from the calculation:
Calculated total energy = -13.1 eV for the cell shown
Density of states at the Fermi level = 7.87 states/eV/cell
Offset from the most stable computed form = 0.162 eV per atom

a b c (Å): 3.532 3.532 8.033
angles (deg): 90.00 90.00 90.00
Last column: magnetic moment on the atom in μB.
Positions (direct):
Ca  0.000  0.000  0.928  0.01
Co  0.000  0.000  0.554  1.55
Ca  0.500  0.500  0.326  -0.06
Ag  0.500  0.500  0.692  -0.01



DFT (PBE-GGA) results for a geometry-optimized Cs2U2CoSe6 structure.

Values from the calculation:
Uncorrected formation energy = -0.975 eV per atom
Calculated total energy = -63.0 eV for the cell shown
Density of states at the Fermi level = 14.86 states/eV/cell

a b c (Å): 6.941 6.941 8.940
angles (deg): 97.60 97.60 119.46
Last column: magnetic moment on the atom in μB.
Positions (direct):
U  0.667  0.333  0.500  -1.86
Se  0.738  0.738  0.677  0.09
Co  0.000  0.000  0.500  2.11
Se  0.618  0.938  0.322  0.09
Se  0.262  0.262  0.323  0.09
Se  0.062  0.382  0.678  0.09
Cs  0.832  0.168  0.000  0.01
Se  0.938  0.618  0.322  0.09
Cs  0.168  0.832  0.000  0.01
Se  0.382  0.062  0.678  0.09
U  0.333  0.667  0.500  -1.86



DFT (PBE-GGA) results for a geometry-optimized CaTb12Ni6 structure.

Values from the calculation:
Calculated total energy = -96.8 eV for the cell shown
Density of states at the Fermi level = 21.95 states/eV/cell

a b c (Å): 8.605 8.605 8.605
angles (deg): 109.47 109.47 109.47
Positions (direct):
Tb  0.501  0.187  0.314
Tb  0.813  0.314  0.127
Tb  0.686  0.499  0.813
Tb  0.187  0.314  0.501
Ni  0.500  0.878  0.378
Tb  0.314  0.501  0.187
Ni  0.122  0.622  0.500
Tb  0.813  0.686  0.499
Tb  0.686  0.873  0.187
Ni  0.878  0.378  0.500
Tb  0.127  0.813  0.314
Tb  0.187  0.686  0.873
Ca  0.000  0.000  0.000
Tb  0.314  0.127  0.813
Tb  0.873  0.187  0.686
Tb  0.499  0.813  0.686
Ni  0.622  0.500  0.122
Ni  0.378  0.500  0.878
Ni  0.500  0.122  0.622



DFT (PBE-GGA) results for a geometry-optimized SrLaPmNd structure.

Values from the calculation:
Calculated total energy = -15.3 eV for the cell shown
Density of states at the Fermi level = 8.81 states/eV/cell

a b c (Å): 6.045 6.045 6.045
angles (deg): 60.00 60.00 60.00
Last column: magnetic moment on the atom in μB.
Positions (direct):
Nd  0.500  0.500  0.500  0.10
Sr  0.750  0.750  0.750  0.01
Pm  0.250  0.250  0.250  0.13
La  0.000  0.000  0.000  0.09



DFT (PBE-GGA) results for a geometry-optimized YTiCu structure.

Values from the calculation:
Calculated total energy = -16.1 eV for the cell shown
Density of states at the Fermi level = 0.39 states/eV/cell
Offset from the most stable computed form = 0.804 eV per atom

a b c (Å): 4.490 4.490 4.490
angles (deg): 60.00 60.00 60.00
Positions (direct):
Cu  0.750  0.750  0.750
Ti  0.500  0.500  0.500
Y  0.250  0.250  0.250



DFT (PBE-GGA) results for a geometry-optimized PPdPbO2 structure.

Values from the calculation:
Uncorrected formation energy = 0.449 eV per atom
Calculated total energy = -22.0 eV for the cell shown
Density of states at the Fermi level = 4.41 states/eV/cell
Offset from the most stable computed form = 0.428 eV per atom

a b c (Å): 4.039 5.805 4.039
angles (deg): 90.00 90.00 90.00
Last column: magnetic moment on the atom in μB.
Positions (direct):
Pb  0.000  0.000  0.000  -0.01
O  0.000  0.000  0.500  0.08
P  0.500  0.500  0.500  0.29
Pd  0.000  0.500  0.000  0.00
O  0.500  0.000  0.000  0.08



DFT (PBE-GGA) results for a geometry-optimized HoSc2Cd2 structure.

Values from the calculation:
Calculated total energy = -38.1 eV for the cell shown
Density of states at the Fermi level = 9.24 states/eV/cell
Offset from the most stable computed form = 0.239 eV per atom

a b c (Å): 4.681 4.681 12.433
angles (deg): 100.85 100.85 90.00
Positions (direct):
Cd  0.500  0.000  0.000
Cd  0.817  0.817  0.634
Cd  0.183  0.183  0.366
Sc  0.928  0.928  0.855
Sc  0.250  0.750  0.500
Ho  0.631  0.631  0.261
Cd  0.000  0.500  0.000
Ho  0.369  0.369  0.739
Sc  0.072  0.072  0.145
Sc  0.750  0.250  0.500



DFT (PBE-GGA) results for a geometry-optimized MnAsOs3 structure.

Values from the calculation:
Calculated total energy = -39.7 eV for the cell shown
Density of states at the Fermi level = 5.48 states/eV/cell
Offset from the most stable computed form = 0.000 eV per atom

a b c (Å): 4.512 4.512 4.512
angles (deg): 90.00 90.00 90.00
Last column: magnetic moment on the atom in μB.
Positions (direct):
Os  0.000  0.000  0.500  -0.13
Os  0.500  0.000  0.000  -0.25
Os  0.000  0.500  0.000  -0.23
Mn  0.500  0.500  0.500  4.20
As  0.000  0.000  0.000  0.03



DFT (PBE-GGA) results for a geometry-optimized CsAlGa2 structure.

Values from the calculation:
Calculated total energy = -10.4 eV for the cell shown
Density of states at the Fermi level = 1.50 states/eV/cell

a b c (Å): 3.523 3.523 8.579
angles (deg): 90.00 90.00 90.00
Positions (direct):
Al  0.500  0.500  0.000
Ga  0.000  0.000  0.166
Ga  0.000  0.000  0.834
Cs  0.500  0.500  0.500



DFT (PBE-GGA) results for a geometry-optimized OF structure.

Values from the calculation:
Uncorrected formation energy = 1.098 eV per atom
Calculated total energy = -18.5 eV for the cell shown
Offset from the most stable computed form = 1.243 eV per atom

a b c (Å): 4.945 4.945 4.945
angles (deg): 90.00 90.00 90.00
Last column: magnetic moment on the atom in μB.
Positions (direct):
F  0.500  0.000  0.500  0.73
O  0.750  0.750  0.250  1.87
F  0.000  0.500  0.500  0.73
O  0.250  0.750  0.750  1.87
F  0.500  0.500  0.000  0.73
O  0.250  0.250  0.250  1.87
O  0.750  0.250  0.750  1.87
F  0.000  0.000  0.000  0.73



DFT (PBE-GGA) results for a geometry-optimized Tc3BP structure.

Values from the calculation:
Calculated total energy = -41.3 eV for the cell shown
Density of states at the Fermi level = 2.95 states/eV/cell
Offset from the most stable computed form = 0.000 eV per atom

a b c (Å): 4.082 4.082 4.082
angles (deg): 90.00 90.00 90.00
Last column: magnetic moment on the atom in μB.
Positions (direct):
B  0.000  0.000  0.000  -0.04
Tc  0.000  0.000  0.500  0.76
P  0.500  0.500  0.500  -0.03
Tc  0.500  0.000  0.000  0.53
Tc  0.000  0.500  0.000  0.61